This record from OQMD describes a relaxed structure of SrCdTeO. The functional is PBE.

Lattice parameters (Å, degrees): 6.6946 4.3223 14.6864 90.00 90.00 90.00
Space group Pnma (No. 62)
Symmetry-distinct sites (fractional):
Sr  0.2415  0.2500  0.0954
Cd  0.1170  0.2500  0.7981
Te  0.2365  0.2500  0.4080
O  0.2097  0.7500  0.1723

Theoretical density   5.371 g/cm3
E_tot   -4.160 eV/atom